A geometry-optimized CaMgGeAu structure. Source: the Alexandria database, functional PBE-GGA.

For the total energy, the calculation gives -53.927 eV per cell. Its formation energy is -0.50 eV/atom.

It has space group F-43m (No. 216), with a = 6.964 Å, b = 6.964 Å, c = 6.964 Å, α = 90.00°, β = 90.00° and γ = 90.00°. The inequivalent atoms are Ca at (0.000, 0.000, 0.000), Mg at (0.000, 0.000, 0.500), Ge at (0.250, 0.250, 0.250) and Au at (0.250, 0.250, 0.750).